# 1
Na2SrI, relaxed, DFT PBE; polymorph energy (0 for the lowest one) = 62 meV per atom; energy relative to the elements, uncorrected = -0.43 eV per atom
1.0
10.168 0.000 0.000
0.000 10.168 0.000
0.000 0.000 6.776
Na Sr I
8 4 4
Cartesian
2.010 2.542 0.847
2.542 7.094 2.541
2.542 8.158 5.929
3.074 2.542 4.235
7.094 7.626 4.235
7.626 2.010 5.929
7.626 3.074 2.541
8.158 7.626 0.847
0.000 0.000 3.388
0.000 5.084 5.082
5.084 0.000 1.694
5.084 5.084 0.000
0.000 0.000 0.000
0.000 5.084 1.694
5.084 0.000 5.082
5.084 5.084 3.388

# 2
Mn2CdSi, relaxed, DFT PBE; polymorph energy (0 for the lowest one) = 250 meV per atom; energy relative to the elements, uncorrected = 0.26 eV per atom
1.0
2.798 0.000 0.000
-1.399 2.423 0.000
0.000 0.000 26.221
Mn Cd Si
6 3 3
Cartesian
0.000 0.000 0.000
0.000 0.000 6.905
0.000 1.615 17.481
0.000 1.615 24.386
1.399 0.808 8.740
1.399 0.808 15.645
0.000 0.000 13.229
0.000 1.615 4.488
1.399 0.808 21.969
0.000 0.000 19.350
0.000 1.615 10.609
1.399 0.808 1.869

# 3
HPdN2O, relaxed, DFT PBE; calculated total energy = -4.3630 eV/atom
1.0
2.892 0.000 0.000
0.000 2.892 0.000
0.000 0.000 6.019
H Pd N O
1 1 2 1
Cartesian
0.000 0.000 0.000
1.446 1.446 3.009
0.000 1.446 0.000
1.446 0.000 0.000
0.000 0.000 3.009

# 4
Np2PaN4, relaxed, DFT PBE; polymorph energy (0 for the lowest one) = 62 meV per atom; energy relative to the elements, uncorrected = -1.19 eV per atom
1.0
-3.584 3.584 3.641
3.584 -3.584 3.641
3.584 3.584 -3.641
Np Pa N
4 2 8
Cartesian
-0.844 1.792 0.910
1.792 2.740 2.731
0.844 5.376 0.910
-1.792 4.428 2.731
3.584 0.000 1.820
0.000 0.000 3.641
2.273 3.098 -2.220
4.071 1.311 -0.399
1.311 0.487 1.421
1.311 3.098 0.399
4.071 2.273 2.220
2.273 0.487 4.040
-0.487 2.273 3.241
-0.487 1.311 5.860